Entry 1
First-principles (PBE) data for crystalline PrErAlHg at its relaxed geometry, as listed in the Alexandria database.

Properties
Its density of states at the Fermi level is 0.6013 states/eV per atom.

a b c (Å): 3.6419 3.6419 7.7636
angles (deg): 90.00 90.00 90.00
Space group P4mm (No. 99)
Asymmetric unit:
Pr  0.0000  0.0000  0.0000 x1
Er  0.0000  0.0000  0.5211 x1
Al  0.5000  0.5000  0.7478 x1
Hg  0.5000  0.5000  0.2906 x1

---

Entry 2
First-principles (PBE) data for crystalline PrErAlHg at its relaxed geometry, as listed in the Alexandria database.

Properties
Its density of states at the Fermi level is 1.1275 states/eV per atom.

a b c (Å): 7.4912 7.4912 7.4912
angles (deg): 90.00 90.00 90.00
Space group F-43m (No. 216)
Asymmetric unit:
Pr  0.0000  0.0000  0.0000 x4
Er  0.0000  0.0000  0.5000 x4
Al  0.2500  0.2500  0.7500 x4
Hg  0.2500  0.2500  0.2500 x4

---

Which of them is the most stable? Correct choice: entry 1.

---

Entry 1
First-principles (PBE) data for crystalline ErTmAlHg at its relaxed geometry, as listed in the Alexandria database.

Properties
Its density of states at the Fermi level is 1.0419 states/eV per atom.

a b c (Å): 7.2821 7.2821 7.2821
angles (deg): 90.00 90.00 90.00
Space group F-43m (No. 216)
Asymmetric unit:
Er  0.0000  0.0000  0.0000 x4
Tm  0.0000  0.0000  0.5000 x4
Al  0.2500  0.2500  0.7500 x4
Hg  0.2500  0.2500  0.2500 x4

---

Entry 2
First-principles (PBE) data for crystalline ErTmAlHg at its relaxed geometry, as listed in the Alexandria database.

Properties
Its density of states at the Fermi level is 0.6878 states/eV per atom.

a b c (Å): 3.5822 3.5822 7.4366
angles (deg): 90.00 90.00 90.00
Space group P4mm (No. 99)
Asymmetric unit:
Er  0.0000  0.0000  0.0000 x1
Tm  0.0000  0.0000  0.5192 x1
Al  0.5000  0.5000  0.7586 x1
Hg  0.5000  0.5000  0.2628 x1

---

Which of them is the most stable? Correct choice: entry 2.

---

Entry 1
First-principles (PBE) data for crystalline HoEr2Al at its relaxed geometry, as listed in the Alexandria database.

Properties
Its density of states at the Fermi level is 1.2303 states/eV per atom.

a b c (Å): 3.4235 3.4235 34.1881
angles (deg): 90.00 90.00 120.00
Space group R-3m (No. 166, hexagonal axes)
Asymmetric unit:
Ho  0.0000  0.0000  0.0000 x3
Er  0.0000  0.0000  0.0998 x6
Al  0.0000  0.0000  0.5000 x3

---

Entry 2
First-principles (PBE) data for crystalline HoEr2Al at its relaxed geometry, as listed in the Alexandria database.

Properties
Its density of states at the Fermi level is 0.9615 states/eV per atom.

a b c (Å): 3.5446 3.5446 30.9682
angles (deg): 90.00 90.00 120.00
Space group R3m (No. 160, hexagonal axes)
Asymmetric unit:
Ho  0.0000  0.0000  0.0000 x3
Er  0.0000  0.0000  0.5728 x3
Er  0.0000  0.0000  0.7599 x3
Al  0.0000  0.0000  0.1660 x3

---

Which of them is the most stable? Correct choice: entry 2.

---

Entry 1
First-principles (PBE) data for crystalline HoEr2Al at its relaxed geometry, as listed in the Alexandria database.

Properties
Its density of states at the Fermi level is 1.0125 states/eV per atom.

a b c (Å): 3.4839 3.4839 8.9301
angles (deg): 90.00 90.00 90.00
Space group P4/mmm (No. 123)
Asymmetric unit:
Ho  0.0000  0.0000  0.0000 x1
Er  0.5000  0.5000  0.2854 x2
Al  0.0000  0.0000  0.5000 x1

---

Entry 2
First-principles (PBE) data for crystalline HoEr2Al at its relaxed geometry, as listed in the Alexandria database.

Properties
Its density of states at the Fermi level is 1.0381 states/eV per atom.

a b c (Å): 5.2772 6.7702 11.7151
angles (deg): 90.00 90.00 90.00
Space group Amm2 (No. 38)
Asymmetric unit:
Ho  0.0000  0.2385  0.0000 x4
Er  0.0000  0.0000  0.7612 x2
Er  0.5000  0.0000  0.4133 x2
Er  0.5000  0.2388  0.1745 x4
Al  0.0000  0.0000  0.2541 x2
Al  0.5000  0.0000  0.9200 x2

---

Entry 3
First-principles (PBE) data for crystalline HoEr2Al at its relaxed geometry, as listed in the Alexandria database.

Properties
Its density of states at the Fermi level is 1.5447 states/eV per atom.

a b c (Å): 7.5005 7.5005 7.5005
angles (deg): 90.00 90.00 90.00
Space group Fm-3m (No. 225)
Asymmetric unit:
Ho  0.0000  0.0000  0.0000 x4
Er  0.2500  0.2500  0.2500 x8
Al  0.0000  0.0000  0.5000 x4

---

Which of them is the most stable? Correct choice: entry 2.

---

Entry 1
First-principles (PBE) data for crystalline Ho2ErAl at its relaxed geometry, as listed in the Alexandria database.

Properties
Its density of states at the Fermi level is 0.9498 states/eV per atom.

a b c (Å): 3.5542 3.5542 31.0075
angles (deg): 90.00 90.00 120.00
Space group R3m (No. 160, hexagonal axes)
Asymmetric unit:
Ho  0.0000  0.0000  0.0000 x3
Ho  0.0000  0.0000  0.1868 x3
Er  0.0000  0.0000  0.4270 x3
Al  0.0000  0.0000  0.5931 x3

---

Entry 2
First-principles (PBE) data for crystalline Ho2ErAl at its relaxed geometry, as listed in the Alexandria database.

Properties
Its density of states at the Fermi level is 1.0560 states/eV per atom.

a b c (Å): 3.4871 3.4871 8.9696
angles (deg): 90.00 90.00 90.00
Space group P4/mmm (No. 123)
Asymmetric unit:
Ho  0.0000  0.0000  0.2154 x2
Er  0.5000  0.5000  0.5000 x1
Al  0.5000  0.5000  0.0000 x1

---

Entry 3
First-principles (PBE) data for crystalline Ho2ErAl at its relaxed geometry, as listed in the Alexandria database.

Properties
Its density of states at the Fermi level is 1.0300 states/eV per atom.

a b c (Å): 5.2783 6.7771 11.7450
angles (deg): 90.00 90.00 90.00
Space group Amm2 (No. 38)
Asymmetric unit:
Ho  0.0000  0.0000  0.0000 x2
Ho  0.0000  0.2383  0.2385 x4
Ho  0.5000  0.0000  0.6511 x2
Er  0.5000  0.2385  0.4126 x4
Al  0.0000  0.0000  0.4917 x2
Al  0.5000  0.0000  0.1590 x2

---

Which of them is the most stable? Correct choice: entry 3.

---

Entry 1
First-principles (PBE) data for crystalline Ho2ErAl at its relaxed geometry, as listed in the Alexandria database.

Properties
Its density of states at the Fermi level is 1.4777 states/eV per atom.

a b c (Å): 7.5117 7.5117 7.5117
angles (deg): 90.00 90.00 90.00
Space group Fm-3m (No. 225)
Asymmetric unit:
Ho  0.2500  0.2500  0.2500 x8
Er  0.0000  0.0000  0.0000 x4
Al  0.0000  0.0000  0.5000 x4

---

Entry 2
First-principles (PBE) data for crystalline Ho2ErAl at its relaxed geometry, as listed in the Alexandria database.

Properties
Its density of states at the Fermi level is 1.2571 states/eV per atom.

a b c (Å): 4.7311 4.7311 4.7271
angles (deg): 90.00 90.00 90.00
Space group P4/mmm (No. 123)
Asymmetric unit:
Ho  0.0000  0.5000  0.0000 x2
Er  0.0000  0.0000  0.5000 x1
Al  0.5000  0.5000  0.5000 x1

---

Which of them is the most stable? Correct choice: entry 2.

---

Entry 1
First-principles (PBE) data for crystalline HoEr2Al2 at its relaxed geometry, as listed in the Alexandria database.

Properties
Its density of states at the Fermi level is 0.6351 states/eV per atom.

a b c (Å): 3.6050 5.1075 13.3895
angles (deg): 90.00 97.75 90.00
Space group P2_1/m (No. 11)
Asymmetric unit:
Ho  0.1452  0.2500  0.2920 x2
Er  0.0467  0.7500  0.0937 x2
Er  0.2335  0.7500  0.4678 x2
Al  0.3597  0.2500  0.7186 x2
Al  0.4504  0.7500  0.9009 x2

---

Entry 2
First-principles (PBE) data for crystalline HoEr2Al2 at its relaxed geometry, as listed in the Alexandria database.

Properties
Its density of states at the Fermi level is 1.0318 states/eV per atom.

a b c (Å): 5.5522 3.5545 13.3226
angles (deg): 90.00 95.93 90.00
Space group P2_1/m (No. 11)
Asymmetric unit:
Ho  0.1826  0.2500  0.2362 x2
Er  0.2408  0.7500  0.4616 x2
Er  0.3458  0.2500  0.8874 x2
Al  0.1521  0.7500  0.0444 x2
Al  0.2914  0.2500  0.6590 x2

---

Which of them is the most stable? Correct choice: entry 1.

---

Entry 1
First-principles (PBE) data for crystalline Ho2Er3Al3 at its relaxed geometry, as listed in the Alexandria database.

Properties
Its density of states at the Fermi level is 0.6553 states/eV per atom.

a b c (Å): 3.6384 5.1098 21.3953
angles (deg): 90.00 90.00 90.00
Space group Immm (No. 71)
Asymmetric unit:
Ho  0.0000  0.0000  0.2306 x4
Er  0.0000  0.0000  0.0000 x2
Er  0.0000  0.5000  0.1204 x4
Al  0.0000  0.0000  0.5000 x2
Al  0.0000  0.5000  0.3842 x4

---

Entry 2
First-principles (PBE) data for crystalline Ho2Er3Al3 at its relaxed geometry, as listed in the Alexandria database.

Properties
Its density of states at the Fermi level is 0.9514 states/eV per atom.

a b c (Å): 4.7481 4.7500 8.7687
angles (deg): 90.00 90.00 90.00
Space group Pmmm (No. 47)
Asymmetric unit:
Ho  0.0000  0.0000  0.2281 x2
Er  0.0000  0.5000  0.5000 x1
Er  0.5000  0.5000  0.2265 x2
Al  0.0000  0.5000  0.0000 x1
Al  0.5000  0.0000  0.0000 x1
Al  0.5000  0.0000  0.5000 x1

---

Which of them is the most stable? Correct choice: entry 1.